# Y2TlHg2

A geometry-optimized Y2TlHg2 structure (PBE-GGA, the Alexandria database).

The density of states at the Fermi level is 8.0 states/eV per cell. The value obtained for the polymorph energy (0 for the lowest one) is 324 meV/atom.

The space group is I4/mmm (No. 139) and the conventional cell measures 5.360, 5.360 and 10.816 Å, with angles of 90.00, 90.00 and 90.00 degrees. The inequivalent atoms are Y at (0.000, 0.500, 0.250), Tl at (0.000, 0.000, 0.000) and Hg at (0.000, 0.000, 0.375).